Compound: Ce6NdTe8
Source: Alexandria
Functional: PBE
Structure: relaxed

Geometry as POSCAR:
```
Ce6NdTe8
1.0
0.0000 6.3354 6.3354
6.3354 0.0000 6.3354
6.3354 6.3354 0.0000
Ce Nd Te
6 1 8
Cartesian
3.1677 3.1677 0.0000
3.1677 0.0000 3.1677
6.3354 3.1677 3.1677
0.0000 3.1677 3.1677
3.1677 6.3354 3.1677
3.1677 3.1677 6.3354
0.0000 0.0000 0.0000
3.1677 3.1677 3.1677
6.3354 6.3354 3.2297
6.3354 3.2297 6.3354
9.4412 6.3354 6.3354
3.2297 6.3354 6.3354
6.3354 9.4412 6.3354
6.3354 6.3354 9.4412
9.5032 9.5032 9.5032
```

Summary:
SG	No. 225
total magnetization	7.3	μB/f.u.
ΔE_f (raw)	-1.394	eV/atom